[1]
First-principles (PBE-GGA) data for a relaxed Ho3Mg4Zr crystal, as listed in the Alexandria database.

abc: 3.6695 3.6695 15.1751
angles: 90.00 90.00 90.00
Closest atoms and distances in Å follow each position.
Fractional positions:
Ho 0.0000 0.0000 0.0000  8 Mg 3.27
Ho 0.0000 0.0000 0.2622  8 Mg 3.24-3.27, 1 Zr 3.61
Ho 0.0000 0.0000 0.7378  8 Mg 3.24-3.27, 1 Zr 3.61
Mg 0.5000 0.5000 0.1307  8 Ho 3.27
Mg 0.5000 0.5000 0.3895  4 Zr 3.09, 4 Ho 3.24, 1 Mg 3.35
Mg 0.5000 0.5000 0.6105  4 Zr 3.09, 4 Ho 3.24, 1 Mg 3.35
Mg 0.5000 0.5000 0.8693  8 Ho 3.27
Zr 0.0000 0.0000 0.5000  8 Mg 3.09

Summary:
Symmetry: No. 123
Energy of formation from the pure elements in eV/atom: -0.020
Total magnetization in μB/cell: 0.00
VASP energy in Ry per atom: -0.265



[2]
First-principles (PBE-GGA) data for a relaxed Sc8Te3PS3 crystal, as listed in the Alexandria database.

abc: 7.9085 7.9085 7.9085
angles: 57.88 57.88 57.88
Closest atoms and distances in Å follow each position.
Fractional positions:
Sc 0.2312 0.2312 0.2312  3 S 2.55
Sc 0.2372 0.7341 0.7341  1 P 2.58, 2 S 2.59
Sc 0.2659 0.2659 0.7628  1 P 2.58, 2 S 2.59
Sc 0.2659 0.7628 0.2659  1 P 2.58, 2 S 2.59
Sc 0.7341 0.2372 0.7341  1 P 2.58, 2 S 2.59
Sc 0.7341 0.7341 0.2372  1 P 2.58, 2 S 2.59
Sc 0.7628 0.2659 0.2659  1 P 2.58, 2 S 2.59
Sc 0.7688 0.7688 0.7688  3 S 2.55
Te 0.0000 0.5000 0.5000  6 Sc 2.93-2.99
Te 0.5000 0.0000 0.5000  6 Sc 2.93-2.99
Te 0.5000 0.5000 0.0000  6 Sc 2.93-2.99
P 0.5000 0.5000 0.5000  6 Sc 2.58
S 0.0000 0.0000 0.5000  6 Sc 2.55-2.59
S 0.0000 0.5000 0.0000  6 Sc 2.55-2.59
S 0.5000 0.0000 0.0000  6 Sc 2.55-2.59

Summary:
Formation energy from raw total energies in meV per atom: -1396.4
Symmetry: No. 166
Total magnetization in μB/cell: 0.00
VASP energy in Ry per atom: -0.484



[3]
First-principles (PBE-GGA) data for a relaxed Tb7Ho3Er2 crystal, as listed in the Alexandria database.

abc: 5.7548 3.5507 18.5740
angles: 90.00 93.55 90.00
Closest atoms and distances in Å follow each position.
Fractional positions:
Tb 0.0000 0.0000 0.0000  4 Tb 3.34-3.55, 4 Ho 3.38
Tb 0.1826 0.5000 0.1803  6 Tb 3.42-3.55, 2 Er 3.58
Tb 0.2579 0.5000 0.5362  1 Er 3.12, 2 Tb 3.17-3.18
Tb 0.3198 0.0000 0.8560  2 Er 3.32, 2 Ho 3.32, 7 Tb 3.34-3.55
Tb 0.6802 0.0000 0.1440  2 Er 3.32, 2 Ho 3.32, 7 Tb 3.34-3.55
Tb 0.7421 0.5000 0.4638  1 Er 3.12, 2 Tb 3.17-3.18
Tb 0.8174 0.5000 0.8197  6 Tb 3.42-3.55, 2 Er 3.58
Ho 0.2183 0.0000 0.3674  2 Ho 3.55, 8 Tb 3.60-3.90, 4 Er 3.63-3.65
Ho 0.5000 0.5000 0.0000  8 Tb 3.32-3.38, 2 Ho 3.55
Ho 0.7817 0.0000 0.6326  2 Ho 3.55, 8 Tb 3.60-3.90, 4 Er 3.63-3.65
Er 0.2939 0.5000 0.7047  3 Tb 3.12-3.32
Er 0.7061 0.5000 0.2953  3 Tb 3.12-3.32

Summary:
ΔE to the lowest computed polymorph in eV per atom: 0.0000
Symmetry: No. 10
Energy of formation from the pure elements in eV/atom: 0.090
Total magnetization in μB/cell: 0.00
VASP energy in Ry per atom: -0.332



[4]
First-principles (PBE-GGA) data for a relaxed DyHo3P4 crystal, as listed in the Alexandria database.

abc: 6.9133 6.9133 3.9930
angles: 90.00 90.00 109.46
Closest atoms and distances in Å follow each position.
Fractional positions:
Dy 0.0000 0.0000 0.0000  6 P 2.83
Ho 0.0000 0.5000 0.5000  6 P 2.82
Ho 0.5000 0.0000 0.5000  6 P 2.82
Ho 0.5000 0.5000 0.0000  6 P 2.82
P 0.2504 0.7496 0.0000  5 Ho 2.82, 1 Dy 2.83
P 0.2509 0.2509 0.5000  4 Ho 2.82, 2 Dy 2.83
P 0.7491 0.7491 0.5000  4 Ho 2.82, 2 Dy 2.83
P 0.7496 0.2504 0.0000  5 Ho 2.82, 1 Dy 2.83

Summary:
Symmetry: No. 65
Energy of formation from the pure elements in eV/atom: -1.615
Total magnetization in μB/cell: 0.00
VASP energy in Ry per atom: -0.486



[5]
First-principles (PBE-GGA) data for a relaxed Pr4YAl5 crystal, as listed in the Alexandria database.

abc: 3.7272 3.7272 18.6478
angles: 90.00 90.00 90.00
Closest atoms and distances in Å follow each position.
Fractional positions:
Pr 0.0000 0.0000 0.1018  8 Al 3.25
Pr 0.0000 0.0000 0.3054  8 Al 3.25-3.28, 1 Y 3.63
Pr 0.0000 0.0000 0.6946  8 Al 3.25-3.28, 1 Y 3.63
Pr 0.0000 0.0000 0.8982  8 Al 3.25
Y 0.0000 0.0000 0.5000  8 Al 3.13
Al 0.5000 0.5000 0.0000  8 Pr 3.25
Al 0.5000 0.5000 0.2034  8 Pr 3.25
Al 0.5000 0.5000 0.4097  4 Y 3.13, 4 Pr 3.28, 1 Al 3.37
Al 0.5000 0.5000 0.5903  4 Y 3.13, 4 Pr 3.28, 1 Al 3.37
Al 0.5000 0.5000 0.7966  8 Pr 3.25

Summary:
Symmetry: No. 123
Energy of formation from the pure elements in eV/atom: -0.355
Total magnetization in μB/cell: 0.00
VASP energy in Ry per atom: -0.352



[6]
First-principles (PBE-GGA) data for a relaxed Sc3InC crystal, as listed in the Alexandria database.

abc: 5.2419 5.2419 5.2419
angles: 90.00 90.00 90.00
Closest atoms and distances in Å follow each position.
Fractional positions:
Sc 0.0000 0.0000 0.5000  2 In 2.62
Sc 0.0000 0.5000 0.0000  2 In 2.62
Sc 0.5000 0.0000 0.0000  2 In 2.62
In 0.0000 0.0000 0.0000  6 Sc 2.62
C 0.5000 0.5000 0.5000  12 Sc 3.71

Summary:
ΔE to the lowest computed polymorph in eV per atom: 2.2865
Symmetry: No. 221
Energy of formation from the pure elements in eV/atom: 1.616
Total magnetization in μB/cell: 0.00
VASP energy in Ry per atom: -0.336



[7]
First-principles (PBE-GGA) data for a relaxed LaZr2Ni crystal, as listed in the Alexandria database.

abc: 5.9054 5.9054 3.3449
angles: 102.55 102.55 122.03
Closest atoms and distances in Å follow each position.
Fractional positions:
La 0.0000 0.0000 0.0000  2 Ni 2.86, 4 Zr 3.06
Zr 0.0000 0.5000 0.5000  2 Zr 2.86, 2 La 3.06, 2 Ni 3.06
Zr 0.5000 0.0000 0.5000  2 Zr 2.86, 2 La 3.06, 2 Ni 3.06
Ni 0.5000 0.5000 0.0000  2 La 2.86, 4 Zr 3.06

Summary:
ΔE to the lowest computed polymorph in eV per atom: 0.3514
Symmetry: No. 12
Energy of formation from the pure elements in eV/atom: 0.233
Total magnetization in μB/cell: 0.02
VASP energy in Ry per atom: -0.494



[8]
First-principles (PBE-GGA) data for a relaxed LiCa2Bi2 crystal, as listed in the Alexandria database.

abc: 8.2531 8.2531 8.2531
angles: 131.34 70.07 132.86
Closest atoms and distances in Å follow each position.
Fractional positions:
Li 0.2500 0.2500 0.0000  4 Bi 2.80
Li 0.7500 0.7500 0.0000  4 Bi 2.80
Ca 0.1419 0.7165 0.8584  2 Li 3.18, 5 Bi 3.26-3.49
Ca 0.3581 0.2165 0.5746  2 Li 3.18, 5 Bi 3.26-3.49
Ca 0.6419 0.7835 0.4254  2 Li 3.18, 5 Bi 3.26-3.49
Ca 0.8581 0.2835 0.1416  2 Li 3.18, 5 Bi 3.26-3.49
Bi 0.1157 0.2397 0.3553  2 Li 2.80
Bi 0.3843 0.7397 0.1240  2 Li 2.80
Bi 0.6157 0.2603 0.8760  2 Li 2.80
Bi 0.8843 0.7603 0.6447  2 Li 2.80

Summary:
ΔE to the lowest computed polymorph in eV per atom: 0.0000
Symmetry: No. 72
Energy of formation from the pure elements in eV/atom: -0.675
Total magnetization in μB/cell: 0.00
VASP energy in Ry per atom: -0.251



What is the formula in the fifth record? Pr4YAl5



What is the formula in the sixth record? Sc3InC